Compound: Rb2CuMoF6
Source: the Alexandria database
Functional: GGA+U
Structure: optimized geometry

POSCAR file:
```
Rb2CuMoF6
1.0
-3.028 3.028 4.564
3.028 -3.028 4.564
3.028 3.028 -4.564
Rb Cu Mo F
2 1 1 6
Cartesian
3.028 0.000 2.282
0.000 3.028 2.282
0.000 0.000 0.000
0.000 0.000 4.564
1.534 1.534 0.000
1.494 -1.494 4.564
0.000 0.000 2.462
0.000 0.000 6.666
-1.494 1.494 4.564
1.494 1.494 4.564
```

Calculated values
- calculated total energy (Ha/atom) = -0.1763